No. 1
Entry from Alexandria via LeMat-Bulk: an optimized crystal structure of La2Pr7Nd2 (PBE-GGA).

The structure in POSCAR format:
```
La2Pr7Nd2
1.0
5.8974 -5.9065 0.0000
5.8974 5.9065 0.0000
-2.3799 0.0000 5.7941
La Pr Nd
2 7 2
direct
0.2164 0.7836 0.0000
0.7836 0.2164 0.0000
0.0000 0.0000 0.5000
0.0515 0.5906 0.3271
0.4094 0.9485 0.6729
0.4189 0.4189 0.6937
0.5811 0.5811 0.3063
0.5906 0.0515 0.3271
0.9485 0.4094 0.6729
0.2324 0.2324 0.0919
0.7676 0.7676 0.9081
```

distance to the lowest polymorph of the same formula	4	meV/atom
N(E_F)	1.5221	states/eV per atom
crystal system	monoclinic
VASP energy	-51.5	eV for the cell shown
V	403.66	Å³ per cell
energy relative to the elements	0.13	eV per atom
total magnetization	0.000	μB per formula unit
space group	C2/m (12)



No. 2
Entry from Alexandria via LeMat-Bulk: an optimized crystal structure of Mo3Br (PBE-GGA).

The structure in POSCAR format:
```
Mo3Br
1.0
3.3014 0.0000 0.0000
0.0000 3.6241 0.0000
0.0000 0.0000 6.5379
Mo Br
3 1
direct
0.0000 0.0000 0.0000
0.5000 0.5000 0.1777
0.5000 0.5000 0.8223
0.0000 0.0000 0.5000
```

distance to the lowest polymorph of the same formula	198	meV/atom
N(E_F)	0.7901	states/eV per atom
formation energy without anion corrections	0.6287	eV/atom
crystal system	orthorhombic
VASP energy	-31.7	eV for the cell shown
V	78.22	Å³ per cell
total magnetization	0.000	μB per formula unit
space group	Pmmm (47)